Ce2HfRu | Alexandria via LeMat-Bulk | PBE | optimized geometry; mass density = 10.678 g/cm³; volume = 87 Å³ per cell; DOS at the Fermi energy = 7.120 states/eV/cell; DFT formation energy = 0.85 eV per formula unit
1.0
3.076 0.000 0.000
1.538 2.664 0.000
1.538 0.888 10.624
Ce Ru Hf
2 1 1
Direct
0.906 0.906 0.283
0.094 0.094 0.717
0.500 0.500 0.500
0.000 0.000 0.000